The following is a DFT calculation (PBE) of a relaxed Mn4PdPt6 crystal.

CIF file:
```
data_Mn4PdPt6
_chemical_formula_sum 'Mn16 Pd4 Pt24'
_cell_length_a 10.742
_cell_length_b 14.492
_cell_length_c 5.322
_cell_angle_alpha 90.00
_cell_angle_beta 115.91
_cell_angle_gamma 90.00
_space_group_name_H-M_alt 'C 1 2/c 1'
_space_group_IT_number 15
loop_
_space_group_symop_operation_xyz
'x,y,z'
'-x,-y,-z'
'-x,y,-z+1/2'
'x,-y,z+1/2'
'x+1/2,y+1/2,z'
'-x+1/2,-y+1/2,-z'
'-x+1/2,y+1/2,-z+1/2'
'x+1/2,-y+1/2,z+1/2'
loop_
_atom_site_label
_atom_site_type_symbol
_atom_site_fract_x
_atom_site_fract_y
_atom_site_fract_z
Mn1 Mn 0.121 0.131 0.020
Mn2 Mn 0.125 0.371 0.496
Pd1 Pd 0.000 0.281 0.750
Pt1 Pt 0.000 0.020 0.250
Pt2 Pt 0.000 0.476 0.750
Pt3 Pt 0.249 0.220 0.747
Pt4 Pt 0.250 0.026 0.756
```

Computed properties:
The energy of formation from the pure elements comes out at -0.03 eV/atom. Its total energy is -0.262 hartree per atom.